First-principles (PBE) data for an optimized crystal structure of Ac2Al4Cd3Ag, as listed in the Alexandria database.

a = 4.613 Å, b = 4.613 Å, c = 11.334 Å
α = 90.00°, β = 90.00°, γ = 90.00°
Atoms (fractional coordinates):
Ac: 0.000 0.500 0.248
Ac: 0.500 0.000 0.752
Al: 0.000 0.000 0.500
Al: 0.000 0.500 0.873
Al: 0.500 0.000 0.127
Al: 0.500 0.500 0.500
Cd: 0.000 0.000 0.000
Cd: 0.000 0.500 0.636
Cd: 0.500 0.000 0.364
Ag: 0.500 0.500 0.000

Raw total energy: -3.172 eV per atom
SG: No. 115